LiAc3Ga2 | Alexandria via LeMat-Bulk | PBE-GGA | relaxed; V = 31.57 Å³/atom; energy above the most stable polymorph in this dataset = 0.20 kcal/mol of atoms
1.0
-6.004 -1.130 2.236
0.352 -10.276 -4.249
7.258 -2.967 7.775
Li Ac Ga
4 12 8
Direct
0.403 0.798 0.291
0.903 0.702 0.791
0.097 0.298 0.209
0.597 0.202 0.709
0.685 0.472 0.902
0.354 0.729 0.644
0.854 0.771 0.144
0.227 0.379 0.531
0.727 0.121 0.031
0.185 0.028 0.402
0.315 0.528 0.098
0.815 0.972 0.598
0.146 0.229 0.856
0.773 0.621 0.469
0.273 0.879 0.969
0.646 0.271 0.356
0.277 0.109 0.141
0.869 0.485 0.222
0.723 0.891 0.859
0.369 0.015 0.722
0.631 0.985 0.278
0.777 0.391 0.641
0.131 0.515 0.778
0.223 0.609 0.359